1 | Computed, not measured: an optimized crystal structure of InTe2Pb2 at the GGA-PBE level of DFT.

```
InTe2Pb2
1.0
4.701 0.000 0.000
0.000 4.701 0.000
2.350 2.350 8.002
Pb Te In
2 2 1
direct
0.750 0.250 0.500 Pb
0.250 0.750 0.500 Pb
0.403 0.403 0.195 Te
0.597 0.597 0.805 Te
0.000 0.000 0.000 In
```

## Properties
M_tot (μB/cell): 0.000
SG: I4/mmm

2 | Computed, not measured: an optimized crystal structure of InTe2Pb2 at the GGA-PBE level of DFT.

```
InTe2Pb2
1.0
8.842 0.000 0.000
0.000 8.842 0.000
0.000 0.000 4.244
Pb Te In
4 4 2
direct
0.147 0.647 0.500 Pb
0.647 0.853 0.500 Pb
0.853 0.353 0.500 Pb
0.353 0.147 0.500 Pb
0.346 0.846 0.000 Te
0.846 0.654 0.000 Te
0.654 0.154 0.000 Te
0.154 0.346 0.000 Te
0.000 0.000 0.000 In
0.500 0.500 0.000 In
```

## Properties
M_tot (μB/cell): 0.000
SG: P4/mbm

3 | Computed, not measured: an optimized crystal structure of InTe2Pb2 at the GGA-PBE level of DFT.

```
InTe2Pb2
1.0
6.019 0.000 0.000
0.000 6.019 0.000
3.009 3.009 5.196
Pb Te In
2 2 1
direct
0.346 0.346 0.307 Pb
0.654 0.654 0.693 Pb
0.750 0.250 0.500 Te
0.250 0.750 0.500 Te
0.000 0.000 0.000 In
```

## Properties
M_tot (μB/cell): 0.000
SG: I4/mmm

Stability check: which of them is least stable? 1.